Record 1
Material: CsSrF3
Method: DFT, PBE-GGA
State: relaxed

## Properties
- Excess energy over the best structure of this formula in the dataset: 98 meV/atom
- Electronic total energy: -4.97 eV per atom
- Formation energy from raw total energies: -3.335 eV per atom

Lattice parameters (Å, degrees): 19.3020 8.1069 8.1069 152.21 150.90 29.10
Element x y z (fractional)
Cs: 0.8762 0.9966 0.0034
Cs: 0.1238 0.0034 0.9966
Sr: 0.6361 0.0126 0.9874
Sr: 0.3639 0.9874 0.0126
F: 0.1125 0.2024 0.7976
F: 0.7235 0.3330 0.6670
F: 0.5533 0.2561 0.7439
F: 0.8875 0.7976 0.2024
F: 0.4467 0.7439 0.2561
F: 0.2765 0.6670 0.3330

=====

Record 2
Material: ErPa2Al9
Method: DFT, PBE-GGA
State: relaxed

## Properties
- Formation energy from the elements: -3.70 eV per formula unit
- Electronic total energy: -5.08 eV per atom

Lattice parameters (Å, degrees): 4.2840 4.2840 12.8495 90.00 90.00 90.00
Element x y z (fractional)
Al: 0.5000 0.5000 0.3328
Al: 0.5000 0.0000 0.5000
Al: 0.0000 0.5000 0.8355
Al: 0.5000 0.5000 0.6672
Al: 0.5000 0.0000 0.8355
Al: 0.5000 0.0000 0.1645
Al: 0.0000 0.5000 0.5000
Al: 0.0000 0.5000 0.1645
Al: 0.5000 0.5000 0.0000
Er: 0.0000 0.0000 0.0000
Pa: 0.0000 0.0000 0.3318
Pa: 0.0000 0.0000 0.6682

=====

Record 3
Material: CuBiP2Se6
Method: DFT, PBE-GGA
State: relaxed

## Properties
- Excess energy over the best structure of this formula in the dataset: 0 meV/atom
- Electronic total energy: -4.15 eV per atom
- Formation energy from raw total energies: -0.178 eV per atom

Lattice parameters (Å, degrees): 6.6424 6.6424 30.3995 83.73 83.73 60.00
Element x y z (fractional)
Se: 0.6950 0.3052 0.9376
Se: 0.9330 0.5909 0.1823
Se: 0.2938 0.9330 0.1823
Se: 0.6948 0.9379 0.0624
Se: 0.5006 0.2049 0.4331
Se: 0.5909 0.2938 0.1823
Se: 0.1789 0.5704 0.3133
Se: 0.5704 0.9374 0.3133
Se: 0.3050 0.6948 0.0624
Se: 0.0626 0.8211 0.6867
Se: 0.2049 0.8614 0.4331
Se: 0.8614 0.5006 0.4331
Se: 0.7951 0.1386 0.5669
Se: 0.0670 0.4091 0.8177
Se: 0.1386 0.4994 0.5669
Se: 0.7062 0.0670 0.8177
Se: 0.0621 0.6950 0.9376
Se: 0.4296 0.0626 0.6867
Se: 0.8211 0.4296 0.6867
Se: 0.9374 0.1789 0.3133
Se: 0.3052 0.0621 0.9376
Se: 0.4994 0.7951 0.5669
Se: 0.4091 0.7062 0.8177
Se: 0.9379 0.3050 0.0624
P: 0.6140 0.6140 0.1579
P: 0.2224 0.2224 0.3327
P: 0.3860 0.3860 0.8421
P: 0.3606 0.3606 0.9181
P: 0.8029 0.8029 0.5913
P: 0.6394 0.6394 0.0819
P: 0.1971 0.1971 0.4087
P: 0.7776 0.7776 0.6673
Bi: 0.2959 0.2959 0.1122
Bi: 0.7041 0.7041 0.8878
Bi: 0.5457 0.5457 0.3629
Bi: 0.4543 0.4543 0.6371
Cu: 0.8604 0.8604 0.4187
Cu: 0.1396 0.1396 0.5813
Cu: 0.9443 0.9443 0.1671
Cu: 0.0557 0.0557 0.8329

=====

Number 1: volume 128.8 Å³/f.u.. Number 2: volume 235.8 Å³/f.u.. Number 3: volume 288.1 Å³/f.u..